Crystalline LiPrAs2Pt5 at its relaxed geometry, computed with PBE.

Properties
For the electronic total energy, the calculation gives -5.76 eV/atom. Its space group is P4/mmm (123).

Cell lengths 4.2192, 4.2192, 9.4760 Å; angles 90.00, 90.00, 90.00 degrees
Atoms (fractional coordinates):
Pt 0.0000 0.5000 0.7293
Pr 0.0000 0.0000 0.5000
Li 0.0000 0.0000 0.0000
Pt 0.0000 0.5000 0.2707
Pt 0.5000 0.5000 0.5000
Pt 0.5000 0.0000 0.2707
Pt 0.5000 0.0000 0.7293
As 0.5000 0.5000 0.1327
As 0.5000 0.5000 0.8673



Crystalline LiPr2As3Pt4 at its relaxed geometry, computed with PBE.

Properties
For the electronic total energy, the calculation gives -5.87 eV/atom. Its space group is P-4m2 (115).

Cell lengths 4.3655, 4.3655, 10.1356 Å; angles 90.00, 90.00, 90.00 degrees
Atoms (fractional coordinates):
Pt 0.0000 0.0000 0.0000
Pt 0.5000 0.0000 0.6210
Pt 0.0000 0.5000 0.3790
As 0.0000 0.0000 0.5000
Pt 0.5000 0.5000 0.0000
Li 0.5000 0.5000 0.5000
Pr 0.0000 0.5000 0.7563
As 0.0000 0.5000 0.1365
Pr 0.5000 0.0000 0.2437
As 0.5000 0.0000 0.8635



Crystalline LiPrAs2Rh at its relaxed geometry, computed with PBE.

Properties
For the electronic total energy, the calculation gives -5.62 eV/atom. Its space group is I-4m2 (119).

Cell lengths 4.1520, 4.1520, 6.1107 Å; angles 109.86, 109.86, 90.00 degrees
Atoms (fractional coordinates):
Li 0.2500 0.7500 0.5000
Rh 0.7500 0.2500 0.5000
Pr 0.0000 0.0000 0.0000
As 0.6215 0.6215 0.2430
As 0.3785 0.3785 0.7570



Number 1: ΔE_f -60.5 kJ per mole of atoms. Number 2: ΔE_f -88.2 kJ per mole of atoms. Number 3: ΔE_f -91.8 kJ per mole of atoms.